BaTa4Te | GGA-PBEsol | relaxed

The calculation puts the density of states at the Fermi level at 1.081 states/eV/atom. Its total energy is -51.2 eV for the cell shown. The calculation puts the uncorrected formation energy at 778 meV/atom.

```
6
Lattice="5.738 0.000 0.000 2.869 4.969 0.000 2.869 1.656 4.685" Properties=species:S:1:pos:R:3 pbc="T T T"
Ba 0.000 0.000 0.000
Ta 7.226 2.454 1.735
Ta 4.251 2.454 1.735
Ta 5.738 3.313 4.164
Ta 5.738 5.030 1.735
Te 8.607 4.969 3.514
```